Record 1
# LiMnNi | Alexandria via LeMat-Bulk | PBE-GGA | optimized geometry
# Raw total energy (eV per atom): -5.49
# Polymorph energy (0 for the lowest one) (kJ/mol of atoms): 1.1
# Formation energy from the elements (eV per atom): 0.133
data_LiMnNi
_chemical_formula_sum 'Li2 Mn2 Ni2'
_symmetry_space_group_name_H-M 'P 1 m 1'
_symmetry_Int_Tables_number 6
_symmetry_space_group_name_Hall 'P -2y'
_cell_length_a 4.552
_cell_length_b 2.441
_cell_length_c 6.133
_cell_angle_alpha 90.00
_cell_angle_beta 100.97
_cell_angle_gamma 90.00
loop_
_atom_site_label
_atom_site_type_symbol
_atom_site_fract_x
_atom_site_fract_y
_atom_site_fract_z
Li1 Li 0.000 0.000 0.000
Li2 Li 0.221 0.500 0.339
Mn1 Mn 0.553 0.000 0.678
Mn2 Mn 0.718 0.000 0.391
Ni1 Ni 0.080 0.500 0.677
Ni2 Ni 0.522 0.500 0.039

Record 2
# LiMnNi | Alexandria via LeMat-Bulk | PBE-GGA | optimized geometry
# Raw total energy (eV per atom): -5.31
# Polymorph energy (0 for the lowest one) (kJ/mol of atoms): 18.8
# Formation energy from the elements (eV per atom): 0.316
data_LiMnNi
_chemical_formula_sum 'Li2 Mn2 Ni2'
_symmetry_space_group_name_H-M 'P 4/n m m'
_symmetry_Int_Tables_number 129
_cell_length_a 3.314
_cell_length_b 3.314
_cell_length_c 6.475
_cell_angle_alpha 90.00
_cell_angle_beta 90.00
_cell_angle_gamma 90.00
loop_
_symmetry_equiv_pos_as_xyz
'x,y,z'
'-x,-y,-z'
'-y+1/2,x,z'
'y+1/2,-x,-z'
'-x+1/2,-y+1/2,z'
'x+1/2,y+1/2,-z'
'y,-x+1/2,z'
'-y,x+1/2,-z'
'x+1/2,-y,-z'
'-x+1/2,y,z'
'-y,-x,-z'
'y,x,z'
'-x,y+1/2,-z'
'x,-y+1/2,z'
'y+1/2,x+1/2,-z'
'-y+1/2,-x+1/2,z'
loop_
_atom_site_label
_atom_site_type_symbol
_atom_site_fract_x
_atom_site_fract_y
_atom_site_fract_z
Li1 Li 0.250 0.250 0.158
Mn1 Mn 0.250 0.750 0.500
Ni1 Ni 0.250 0.250 0.778

Record 3
# Li2MnNi | Alexandria via LeMat-Bulk | PBE-GGA | optimized geometry
# Raw total energy (eV per atom): -4.51
# Polymorph energy (0 for the lowest one) (kJ/mol of atoms): 7.2
# Formation energy from the elements (eV per atom): 0.187
data_Li2MnNi
_chemical_formula_sum 'Li4 Mn2 Ni2'
_symmetry_space_group_name_H-M 'C m m m'
_symmetry_Int_Tables_number 65
_symmetry_space_group_name_Hall '-C 2 2'
_cell_length_a 2.611
_cell_length_b 4.142
_cell_length_c 8.827
_cell_angle_alpha 90.00
_cell_angle_beta 90.00
_cell_angle_gamma 90.00
loop_
_atom_site_label
_atom_site_type_symbol
_atom_site_fract_x
_atom_site_fract_y
_atom_site_fract_z
Li1 Li 0.000 0.000 0.239
Mn1 Mn 0.000 0.500 0.500
Ni1 Ni 0.000 0.500 0.000

Record 4
# Li2MnNi | Alexandria via LeMat-Bulk | PBE-GGA | optimized geometry
# Raw total energy (eV per atom): -4.56
# Polymorph energy (0 for the lowest one) (kJ/mol of atoms): 1.6
# Formation energy from the elements (eV per atom): 0.130
data_Li2MnNi
_chemical_formula_sum 'Li8 Mn4 Ni4'
_symmetry_space_group_name_H-M 'F -4 3 m'
_symmetry_Int_Tables_number 216
_symmetry_space_group_name_Hall 'F -4 2 3'
_cell_length_a 5.930
_cell_length_b 5.930
_cell_length_c 5.930
_cell_angle_alpha 90.00
_cell_angle_beta 90.00
_cell_angle_gamma 90.00
loop_
_atom_site_label
_atom_site_type_symbol
_atom_site_fract_x
_atom_site_fract_y
_atom_site_fract_z
Li1 Li 0.000 0.000 0.000
Li2 Li 0.250 0.250 0.250
Mn1 Mn 0.250 0.250 0.750
Ni1 Ni 0.000 0.000 0.500

Record 5
# Li2MnNi | Alexandria via LeMat-Bulk | PBE-GGA | optimized geometry
# Raw total energy (eV per atom): -4.48
# Polymorph energy (0 for the lowest one) (kJ/mol of atoms): 9.7
# Formation energy from the elements (eV per atom): 0.214
data_Li2MnNi
_chemical_formula_sum 'Li2 Mn1 Ni1'
_symmetry_space_group_name_H-M 'P m m m'
_symmetry_Int_Tables_number 47
_symmetry_space_group_name_Hall '-P 2 2'
_cell_length_a 2.589
_cell_length_b 4.091
_cell_length_c 4.954
_cell_angle_alpha 90.00
_cell_angle_beta 90.00
_cell_angle_gamma 90.00
loop_
_atom_site_label
_atom_site_type_symbol
_atom_site_fract_x
_atom_site_fract_y
_atom_site_fract_z
Li1 Li 0.000 0.000 0.235
Mn1 Mn 0.500 0.500 0.500
Ni1 Ni 0.500 0.500 0.000

Record 6
# Li2MnNi | Alexandria via LeMat-Bulk | PBE-GGA | optimized geometry
# Raw total energy (eV per atom): -4.54
# Polymorph energy (0 for the lowest one) (kJ/mol of atoms): 4.0
# Formation energy from the elements (eV per atom): 0.154
data_Li2MnNi
_chemical_formula_sum 'Li6 Mn3 Ni3'
_symmetry_space_group_name_H-M 'R 3 m'
_symmetry_Int_Tables_number 160
_symmetry_space_group_name_Hall 'R 3 -2"'
_cell_length_a 2.6467
_cell_length_b 2.6467
_cell_length_c 26.9506
_cell_angle_alpha 90.00
_cell_angle_beta 90.00
_cell_angle_gamma 120.00
loop_
_atom_site_label
_atom_site_type_symbol
_atom_site_fract_x
_atom_site_fract_y
_atom_site_fract_z
Li1 Li 0.0000 0.0000 0.0000
Li2 Li 0.0000 0.0000 0.2361
Mn1 Mn 0.0000 0.0000 0.7515
Ni1 Ni 0.0000 0.0000 0.4924

Record 7
# Li2MnNi | Alexandria via LeMat-Bulk | PBE-GGA | optimized geometry
# Raw total energy (eV per atom): -4.54
# Polymorph energy (0 for the lowest one) (kJ/mol of atoms): 3.7
# Formation energy from the elements (eV per atom): 0.151
data_Li2MnNi
_chemical_formula_sum 'Li2 Mn1 Ni1'
_symmetry_space_group_name_H-M 'P 4/m m m'
_symmetry_Int_Tables_number 123
_symmetry_space_group_name_Hall '-P 4 2'
_cell_length_a 3.510
_cell_length_b 3.510
_cell_length_c 4.329
_cell_angle_alpha 90.00
_cell_angle_beta 90.00
_cell_angle_gamma 90.00
loop_
_atom_site_label
_atom_site_type_symbol
_atom_site_fract_x
_atom_site_fract_y
_atom_site_fract_z
Li1 Li 0.000 0.500 0.000
Mn1 Mn 0.000 0.000 0.500
Ni1 Ni 0.500 0.500 0.500

Record 8
# Li2MnNi | Alexandria via LeMat-Bulk | PBE-GGA | optimized geometry
# Raw total energy (eV per atom): -4.58
# Polymorph energy (0 for the lowest one) (kJ/mol of atoms): 0.0
# Formation energy from the elements (eV per atom): 0.113
data_Li2MnNi
_chemical_formula_sum 'Li2 Mn1 Ni1'
_symmetry_space_group_name_H-M 'P 4 m m'
_symmetry_Int_Tables_number 99
_symmetry_space_group_name_Hall 'P 4 -2'
_cell_length_a 2.857
_cell_length_b 2.857
_cell_length_c 7.188
_cell_angle_alpha 90.00
_cell_angle_beta 90.00
_cell_angle_gamma 90.00
loop_
_atom_site_label
_atom_site_type_symbol
_atom_site_fract_x
_atom_site_fract_y
_atom_site_fract_z
Li1 Li 0.000 0.000 0.000
Li2 Li 0.500 0.500 0.305
Mn1 Mn 0.000 0.000 0.587
Ni1 Ni 0.500 0.500 0.777

Record 9
# LiMnNi | Alexandria via LeMat-Bulk | PBE-GGA | optimized geometry
# Raw total energy (eV per atom): -4.20
# Polymorph energy (0 for the lowest one) (kJ/mol of atoms): 125.3
# Formation energy from the elements (eV per atom): 1.420
data_LiMnNi
_chemical_formula_sum 'Li2 Mn2 Ni2'
_symmetry_space_group_name_H-M 'P 63/m m c'
_symmetry_Int_Tables_number 194
_symmetry_space_group_name_Hall '-P 6c 2c'
_cell_length_a 4.4012
_cell_length_b 4.4012
_cell_length_c 8.9993
_cell_angle_alpha 90.00
_cell_angle_beta 90.00
_cell_angle_gamma 120.00
loop_
_atom_site_label
_atom_site_type_symbol
_atom_site_fract_x
_atom_site_fract_y
_atom_site_fract_z
Li1 Li 0.3333 0.6667 0.2500
Mn1 Mn 0.0000 0.0000 0.2500
Ni1 Ni 0.0000 0.0000 0.0000

Record 10
# Li4MnNi | Alexandria via LeMat-Bulk | PBE-GGA | optimized geometry
# Raw total energy (eV per atom): -3.45
# Formation energy from the elements (eV per atom): 0.318
data_Li4MnNi
_chemical_formula_sum 'Li16 Mn4 Ni4'
_symmetry_space_group_name_H-M 'F -4 3 m'
_symmetry_Int_Tables_number 216
_symmetry_space_group_name_Hall 'F -4 2 3'
_cell_length_a 6.864
_cell_length_b 6.864
_cell_length_c 6.864
_cell_angle_alpha 90.00
_cell_angle_beta 90.00
_cell_angle_gamma 90.00
loop_
_atom_site_label
_atom_site_type_symbol
_atom_site_fract_x
_atom_site_fract_y
_atom_site_fract_z
Li1 Li 0.124 0.124 0.124
Mn1 Mn 0.000 0.000 0.500
Ni1 Ni 0.250 0.250 0.750

Record 11
# LiMnNi | Alexandria via LeMat-Bulk | PBE-GGA | optimized geometry
# Raw total energy (eV per atom): -5.41
# Polymorph energy (0 for the lowest one) (kJ/mol of atoms): 9.0
# Formation energy from the elements (eV per atom): 0.215
data_LiMnNi
_chemical_formula_sum 'Li2 Mn2 Ni2'
_symmetry_space_group_name_H-M 'P 1 m 1'
_symmetry_Int_Tables_number 6
_symmetry_space_group_name_Hall 'P -2y'
_cell_length_a 4.106
_cell_length_b 2.862
_cell_length_c 6.114
_cell_angle_alpha 90.00
_cell_angle_beta 109.31
_cell_angle_gamma 90.00
loop_
_atom_site_label
_atom_site_type_symbol
_atom_site_fract_x
_atom_site_fract_y
_atom_site_fract_z
Li1 Li 0.000 0.000 0.000
Li2 Li 0.167 0.500 0.337
Mn1 Mn 0.685 0.000 0.374
Mn2 Mn 0.815 0.500 0.639
Ni1 Ni 0.334 0.000 0.675
Ni2 Ni 0.512 0.500 0.024

Record 12
# Li2MnNi | Alexandria via LeMat-Bulk | PBE-GGA | optimized geometry
# Raw total energy (eV per atom): -4.57
# Polymorph energy (0 for the lowest one) (kJ/mol of atoms): 1.4
# Formation energy from the elements (eV per atom): 0.127
data_Li2MnNi
_chemical_formula_sum 'Li4 Mn2 Ni2'
_symmetry_space_group_name_H-M 'I 4/m m m'
_symmetry_Int_Tables_number 139
_symmetry_space_group_name_Hall '-I 4 2'
_cell_length_a 3.517
_cell_length_b 3.517
_cell_length_c 8.503
_cell_angle_alpha 90.00
_cell_angle_beta 90.00
_cell_angle_gamma 90.00
loop_
_atom_site_label
_atom_site_type_symbol
_atom_site_fract_x
_atom_site_fract_y
_atom_site_fract_z
Li1 Li 0.000 0.500 0.250
Mn1 Mn 0.000 0.000 0.000
Ni1 Ni 0.000 0.000 0.500